(1)
Density functional theory data (meta-GGA SCAN) for SbW2Br at its PBEsol-relaxed geometry.

POSCAR file:
```
SbW2Br
1.0
-1.439 2.701 4.736
1.439 -2.701 4.736
1.439 2.701 -4.736
Sb W Br
1 2 1
Direct
0.000 0.000 0.000
0.255 0.755 0.500
0.745 0.245 0.500
0.500 0.500 0.000
```

Calculated values
E_form (uncorrected) in meV per atom: 1413
Energy above the most stable polymorph in this dataset in eV/f.u.: 3.19

=====

(2)
Density functional theory data (meta-GGA SCAN) for NdGa6 at its PBEsol-relaxed geometry.

POSCAR file:
```
NdGa6
1.0
5.917 0.000 0.000
0.000 5.917 0.000
0.000 0.000 7.581
Nd Ga
2 12
Direct
0.250 0.750 0.000
0.750 0.250 0.000
0.065 0.565 0.352
0.065 0.935 0.648
0.250 0.250 0.162
0.250 0.250 0.838
0.435 0.565 0.648
0.435 0.935 0.352
0.565 0.065 0.648
0.565 0.435 0.352
0.750 0.750 0.162
0.750 0.750 0.838
0.935 0.065 0.352
0.935 0.435 0.648
```

Calculated values
Energy relative to the elements in eV per atom: -0.402

=====

(3)
Density functional theory data (meta-GGA SCAN) for AlAg4 at its PBEsol-relaxed geometry.

POSCAR file:
```
AlAg4
1.0
1.443 0.833 11.335
-1.443 0.833 11.335
0.000 -1.666 11.335
Al Ag
1 4
Direct
0.000 0.000 0.000
0.201 0.201 0.201
0.397 0.397 0.397
0.603 0.603 0.603
0.799 0.799 0.799
```

Calculated values
Energy relative to the elements in eV per atom: -0.044

=====

(4)
Density functional theory data (meta-GGA SCAN) for AlSI3 at its PBEsol-relaxed geometry.

POSCAR file:
```
AlSI3
1.0
5.482 0.000 0.000
0.000 5.482 0.000
0.000 0.000 5.482
Al S I
1 1 3
Direct
0.000 0.000 0.000
0.500 0.500 0.500
0.000 0.500 0.500
0.500 0.000 0.500
0.500 0.500 0.000
```

Calculated values
E_form (uncorrected) in meV per atom: 303

=====

(5)
Density functional theory data (meta-GGA SCAN) for In3PdBr at its PBEsol-relaxed geometry.

POSCAR file:
```
In3PdBr
1.0
5.587 0.000 0.000
0.000 5.587 0.000
0.000 0.000 5.587
In Pd Br
3 1 1
Direct
0.000 0.000 0.500
0.000 0.500 0.000
0.500 0.000 0.000
0.500 0.500 0.500
0.000 0.000 0.000
```

Calculated values
E_form (uncorrected) in meV per atom: 735
Energy above the most stable polymorph in this dataset in eV/f.u.: 6.24

=====

(6)
Density functional theory data (meta-GGA SCAN) for Li2Si3NiO8 at its PBEsol-relaxed geometry.

POSCAR file:
```
Li2Si3NiO8
1.0
4.824 0.000 0.000
0.000 9.811 0.000
-0.035 0.000 6.813
Li Si Ni O
4 6 2 16
Direct
0.067 0.000 0.256
0.422 0.289 0.274
0.578 0.789 0.726
0.933 0.500 0.744
0.051 0.717 0.466
0.408 0.543 0.026
0.442 0.302 0.777
0.558 0.802 0.223
0.592 0.043 0.974
0.949 0.217 0.534
0.065 0.959 0.762
0.935 0.459 0.238
0.012 0.057 0.522
0.027 0.279 0.323
0.076 0.537 0.999
0.114 0.300 0.715
0.381 0.753 0.414
0.466 0.961 0.174
0.470 0.966 0.785
0.490 0.206 0.974
0.510 0.706 0.026
0.530 0.466 0.215
0.534 0.461 0.826
0.619 0.253 0.586
0.886 0.800 0.285
0.924 0.037 0.001
0.973 0.779 0.677
0.988 0.557 0.478
```

Calculated values
E_form (uncorrected) in meV per atom: -2573
Energy above the most stable polymorph in this dataset in eV/f.u.: 0.59

=====

(7)
Density functional theory data (meta-GGA SCAN) for SnBiB2H at its PBEsol-relaxed geometry.

POSCAR file:
```
SnBiB2H
1.0
4.442 0.000 0.000
0.000 4.442 0.000
0.000 0.000 3.943
Sn Bi B H
1 1 2 1
Direct
0.000 0.000 0.000
0.500 0.500 0.000
0.000 0.500 0.500
0.500 0.000 0.500
0.500 0.500 0.500
```

Calculated values
Raw total energy in eV/cell: -124.02

=====

(8)
Density functional theory data (meta-GGA SCAN) for AgOs2PbC at its PBEsol-relaxed geometry.

POSCAR file:
```
AgOs2PbC
1.0
4.824 0.000 0.000
0.000 4.824 0.000
0.000 0.000 5.191
Ag Os Pb C
1 2 1 1
Direct
0.000 0.000 0.000
0.000 0.500 0.000
0.500 0.000 0.000
0.000 0.000 0.500
0.500 0.500 0.500
```

Calculated values
Energy relative to the elements in eV per atom: 3.689

=====

(9)
Density functional theory data (meta-GGA SCAN) for LaCr2Co at its PBEsol-relaxed geometry.

POSCAR file:
```
LaCr2Co
1.0
2.943 0.000 0.000
0.000 2.943 0.000
0.000 0.000 7.183
La Cr Co
1 2 1
Direct
0.000 0.000 0.000
0.000 0.000 0.490
0.500 0.500 0.661
0.500 0.500 0.315
```

Calculated values
Energy relative to the elements in eV per atom: 0.340

=====

(10)
Density functional theory data (meta-GGA SCAN) for H8PtO6 at its PBEsol-relaxed geometry.

POSCAR file:
```
H8PtO6
1.0
5.387 0.000 0.000
0.662 5.368 0.000
0.519 0.170 7.234
H Pt O
16 2 12
Direct
0.000 0.000 0.000
0.003 0.368 0.383
0.032 0.904 0.274
0.100 0.404 0.917
0.222 0.727 0.762
0.313 0.000 0.168
0.320 0.693 0.508
0.365 0.046 0.665
0.416 0.306 0.780
0.456 0.406 0.506
0.614 0.111 0.268
0.697 0.679 0.880
0.712 0.138 0.016
0.736 0.775 0.408
0.807 0.545 0.149
0.874 0.480 0.649
0.346 0.518 0.167
0.846 0.018 0.667
0.021 0.389 0.239
0.176 0.874 0.164
0.200 0.857 0.657
0.261 0.479 0.907
0.442 0.565 0.427
0.488 0.188 0.668
0.508 0.166 0.160
0.665 0.655 0.086
0.712 0.698 0.737
0.812 0.934 0.404
0.880 0.120 0.928
0.987 0.333 0.586
```

Calculated values
Raw total energy in eV/cell: -298.68

=====

(11)
Density functional theory data (meta-GGA SCAN) for TaAs5 at its PBEsol-relaxed geometry.

POSCAR file:
```
TaAs5
1.0
4.995 0.000 0.000
-2.497 4.326 0.000
0.000 0.000 5.449
Ta As
1 5
Direct
0.000 0.000 0.000
0.000 0.500 0.500
0.333 0.667 0.000
0.500 0.000 0.500
0.500 0.500 0.500
0.667 0.333 0.000
```

Calculated values
Energy above the most stable polymorph in this dataset in eV/f.u.: 4.11
Energy relative to the elements in eV per atom: 0.798

=====

(12)
Density functional theory data (meta-GGA SCAN) for LaPSe2 at its PBEsol-relaxed geometry.

POSCAR file:
```
LaPSe2
1.0
-1.924 2.628 4.246
1.924 -2.628 4.246
1.924 2.628 -4.246
La P Se
1 1 2
Direct
0.000 0.000 0.000
0.500 0.500 0.000
0.302 0.802 0.500
0.698 0.198 0.500
```

Calculated values
E_form (uncorrected) in meV per atom: -1119

=====

(13)
Density functional theory data (meta-GGA SCAN) for Ga2CoH at its PBEsol-relaxed geometry.

POSCAR file:
```
Ga2CoH
1.0
-2.817 2.817 2.809
2.817 -2.817 2.809
2.817 2.817 -2.809
Ga Co H
4 2 2
Direct
0.060 0.625 0.935
0.375 0.310 0.435
0.690 0.125 0.065
0.875 0.940 0.565
0.250 0.750 0.500
0.500 0.500 0.000
0.000 0.000 0.000
0.750 0.250 0.500
```

Calculated values
Raw total energy in eV/cell: -104.20

=====

(14)
Density functional theory data (meta-GGA SCAN) for Mn2AuSe at its PBEsol-relaxed geometry.

POSCAR file:
```
Mn2AuSe
1.0
3.189 0.000 0.000
0.000 3.189 0.000
0.000 0.000 6.082
Mn Au Se
2 1 1
Direct
0.000 0.000 0.000
0.500 0.500 0.252
0.500 0.500 0.769
0.000 0.000 0.417
```

Calculated values
E_form (uncorrected) in meV per atom: -232

=====

(15)
Density functional theory data (meta-GGA SCAN) for Ni2SbH at its PBEsol-relaxed geometry.

POSCAR file:
```
Ni2SbH
1.0
0.000 2.885 2.885
2.885 0.000 2.885
2.885 2.885 0.000
Ni Sb H
2 1 1
Direct
0.250 0.250 0.250
0.750 0.750 0.750
0.000 0.000 0.000
0.500 0.500 0.500
```

Calculated values
Raw total energy in eV/cell: -71.15

=====

(16)
Density functional theory data (meta-GGA SCAN) for InPd2 at its PBEsol-relaxed geometry.

POSCAR file:
```
InPd2
1.0
5.620 0.000 0.000
0.000 4.167 0.000
0.000 0.000 8.250
In Pd
4 8
Direct
0.171 0.250 0.099
0.329 0.750 0.599
0.671 0.250 0.401
0.829 0.750 0.901
0.075 0.250 0.767
0.153 0.250 0.427
0.347 0.750 0.927
0.425 0.750 0.267
0.575 0.250 0.733
0.653 0.250 0.073
0.847 0.750 0.573
0.925 0.750 0.233
```

Calculated values
Energy relative to the elements in eV per atom: -0.528

=====

(17)
Density functional theory data (meta-GGA SCAN) for Mn2FeCu at its PBEsol-relaxed geometry.

POSCAR file:
```
Mn2FeCu
1.0
2.456 0.000 0.000
0.000 3.532 0.000
0.000 0.000 4.922
Mn Fe Cu
2 1 1
Direct
0.000 0.000 0.240
0.000 0.000 0.760
0.500 0.500 0.000
0.500 0.500 0.500
```

Calculated values
Energy above the most stable polymorph in this dataset in eV/f.u.: 0.28
Energy relative to the elements in eV per atom: 0.149

=====

(18)
Density functional theory data (meta-GGA SCAN) for NaSb2F at its PBEsol-relaxed geometry.

POSCAR file:
```
NaSb2F
1.0
-2.009 2.009 12.585
2.009 -2.009 12.585
2.009 2.009 -12.585
Na Sb F
2 4 2
Direct
0.000 0.000 0.000
0.750 0.250 0.500
0.123 0.625 0.998
0.375 0.373 0.498
0.627 0.125 0.002
0.875 0.877 0.502
0.250 0.750 0.500
0.500 0.500 0.000
```

Calculated values
E_form (uncorrected) in meV per atom: -783

=====

(19)
Density functional theory data (meta-GGA SCAN) for MgTlIn2 at its PBEsol-relaxed geometry.

POSCAR file:
```
MgTlIn2
1.0
-2.255 2.255 4.853
2.255 -2.255 4.853
2.255 2.255 -4.853
Mg Tl In
1 1 2
Direct
0.000 0.000 0.000
0.500 0.500 0.000
0.250 0.750 0.500
0.750 0.250 0.500
```

Calculated values
Energy relative to the elements in eV per atom: -0.031

=====

(20)
Density functional theory data (meta-GGA SCAN) for PbBrN2 at its PBEsol-relaxed geometry.

POSCAR file:
```
PbBrN2
1.0
1.619 0.935 7.142
-1.619 0.935 7.142
0.000 -1.870 7.142
Pb Br N
1 1 2
Direct
0.000 0.000 0.000
0.500 0.500 0.500
0.114 0.114 0.114
0.886 0.886 0.886
```

Calculated values
E_form (uncorrected) in meV per atom: 1899
Energy above the most stable polymorph in this dataset in eV/f.u.: 2.99

=====

(21)
Density functional theory data (meta-GGA SCAN) for Sc2GaTe at its PBEsol-relaxed geometry.

POSCAR file:
```
Sc2GaTe
1.0
0.000 3.473 3.473
3.473 0.000 3.473
3.473 3.473 0.000
Sc Ga Te
2 1 1
Direct
0.250 0.250 0.250
0.750 0.750 0.750
0.000 0.000 0.000
0.500 0.500 0.500
```

Calculated values
E_form (uncorrected) in meV per atom: -577

=====

(22)
Density functional theory data (meta-GGA SCAN) for MnNi6Os at its PBEsol-relaxed geometry.

POSCAR file:
```
MnNi6Os
1.0
3.549 -5.005 0.000
3.549 5.005 0.000
0.000 0.000 10.009
Mn Ni Os
4 24 4
Direct
0.000 0.000 0.247
0.000 0.000 0.753
0.249 0.751 0.000
0.751 0.249 0.000
0.000 0.000 0.000
0.000 0.000 0.500
0.125 0.375 0.125
0.125 0.375 0.875
0.126 0.377 0.374
0.126 0.377 0.626
0.251 0.749 0.251
0.251 0.749 0.749
0.375 0.125 0.125
0.375 0.125 0.875
0.377 0.126 0.374
0.377 0.126 0.626
0.500 0.500 0.000
0.500 0.500 0.500
0.623 0.874 0.374
0.623 0.874 0.626
0.625 0.875 0.125
0.625 0.875 0.875
0.749 0.251 0.251
0.749 0.251 0.749
0.874 0.623 0.374
0.874 0.623 0.626
0.875 0.625 0.125
0.875 0.625 0.875
0.247 0.753 0.500
0.500 0.500 0.246
0.500 0.500 0.754
0.753 0.247 0.500
```

Calculated values
Energy relative to the elements in eV per atom: -0.047

=====

(23)
Density functional theory data (meta-GGA SCAN) for BaMgRh at its PBEsol-relaxed geometry.

POSCAR file:
```
BaMgRh
1.0
0.000 3.439 3.439
3.439 0.000 3.439
3.439 3.439 0.000
Ba Mg Rh
1 1 1
Direct
0.000 0.000 0.000
0.750 0.750 0.750
0.500 0.500 0.500
```

Calculated values
Energy relative to the elements in eV per atom: 0.370

=====

(24)
Density functional theory data (meta-GGA SCAN) for Sc2Cd at its PBEsol-relaxed geometry.

POSCAR file:
```
Sc2Cd
1.0
1.729 -7.712 0.000
1.729 7.712 0.000
0.000 0.000 5.002
Sc Cd
4 2
Direct
0.061 0.939 0.750
0.389 0.611 0.750
0.611 0.389 0.250
0.939 0.061 0.250
0.275 0.725 0.250
0.725 0.275 0.750
```

Calculated values
Energy relative to the elements in eV per atom: -0.154